1.
TaCrTe2: optimized geometry, PBE-GGA.

Cell and atoms, written as extended XYZ:
```
4
Lattice="3.480 0.000 0.000 0.000 3.480 0.000 0.000 0.000 7.013" Properties=species:S:1:pos:R:3 pbc="T T T"
Ta 0.000 0.000 0.000
Cr 0.000 0.000 3.507
Te 1.740 1.740 1.655
Te 1.740 1.740 5.359
```

## Properties
Crystal system: tetragonal
Total energy in eV per atom: -6.726
ΔE_f (raw) in eV/atom: 0.2141

---

2.
TaCr4Te: optimized geometry, PBE-GGA.

Cell and atoms, written as extended XYZ:
```
6
Lattice="0.000 3.485 3.485 3.485 0.000 3.485 3.485 3.485 0.000" Properties=species:S:1:pos:R:3 pbc="T T T"
Ta 0.000 0.000 0.000
Cr 2.615 2.615 2.615
Cr 4.355 4.355 2.615
Cr 4.355 2.615 4.355
Cr 2.615 4.355 4.355
Te 5.228 5.228 5.228
```

## Properties
Crystal system: cubic
Total energy in eV per atom: -8.672
ΔE_f (raw) in eV/atom: 0.2431

---

3.
Ta2CrTe: optimized geometry, PBE-GGA.

Cell and atoms, written as extended XYZ:
```
4
Lattice="3.354 0.000 0.000 0.000 3.354 0.000 0.000 0.000 6.332" Properties=species:S:1:pos:R:3 pbc="T T T"
Ta 0.000 0.000 1.391
Ta 0.000 0.000 4.942
Cr 1.677 1.677 0.000
Te 1.677 1.677 3.166
```

## Properties
Crystal system: tetragonal
Total energy in eV per atom: -8.826
ΔE_f (raw) in eV/atom: 0.2911

---

4.
Ta2CrTe2: optimized geometry, PBE-GGA.

Cell and atoms, written as extended XYZ:
```
10
Lattice="7.642 0.000 0.000 0.000 7.642 0.000 0.000 0.000 3.570" Properties=species:S:1:pos:R:3 pbc="T T T"
Ta 1.044 2.777 0.000
Ta 2.777 6.598 0.000
Ta 4.865 1.044 0.000
Ta 6.598 4.865 0.000
Cr 0.000 0.000 0.000
Cr 3.821 3.821 0.000
Te 1.214 5.034 1.785
Te 2.607 1.214 1.785
Te 5.034 6.428 1.785
Te 6.428 2.607 1.785
```

## Properties
Crystal system: tetragonal
Total energy in eV per atom: -7.431
ΔE_f (raw) in eV/atom: 0.4914

---

5.
Ta2CrTe: optimized geometry, PBE-GGA.

Cell and atoms, written as extended XYZ:
```
4
Lattice="1.605 0.926 8.259 -1.605 0.926 8.259 0.000 -1.853 8.259" Properties=species:S:1:pos:R:3 pbc="T T T"
Ta 0.000 0.000 5.914
Ta 0.000 0.000 18.864
Cr 0.000 0.000 12.389
Te 0.000 0.000 0.000
```

## Properties
Crystal system: trigonal
Total energy in eV per atom: -8.722
ΔE_f (raw) in eV/atom: 0.3960

---

6.
Ta2CrTe2: optimized geometry, PBE-GGA.

Cell and atoms, written as extended XYZ:
```
5
Lattice="-2.676 2.676 4.255 2.676 -2.676 4.255 2.676 2.676 -4.255" Properties=species:S:1:pos:R:3 pbc="T T T"
Ta 0.000 0.000 1.196
Ta 0.000 0.000 7.313
Cr 0.000 0.000 4.255
Te 2.676 0.000 2.127
Te 0.000 2.676 2.127
```

## Properties
Crystal system: tetragonal
Total energy in eV per atom: -7.245
ΔE_f (raw) in eV/atom: 0.6772

---

7.
TaCrTe2: optimized geometry, PBE-GGA.

Cell and atoms, written as extended XYZ:
```
4
Lattice="3.785 0.000 0.000 0.000 3.785 0.000 0.000 0.000 7.434" Properties=species:S:1:pos:R:3 pbc="T T T"
Ta 0.000 0.000 0.000
Cr 1.893 1.893 0.000
Te 0.000 1.893 5.435
Te 1.893 0.000 1.999
```

## Properties
Crystal system: tetragonal
Total energy in eV per atom: -7.040
ΔE_f (raw) in eV/atom: -0.1003

---

8.
TaTl2CrTe: optimized geometry, PBE-GGA.

Cell and atoms, written as extended XYZ:
```
5
Lattice="5.613 0.000 0.000 0.000 5.613 0.000 0.000 0.000 4.552" Properties=species:S:1:pos:R:3 pbc="T T T"
Ta 0.000 0.000 0.000
Tl 0.000 2.806 0.000
Tl 2.806 0.000 0.000
Cr 0.000 0.000 2.276
Te 2.806 2.806 2.276
```

## Properties
Crystal system: tetragonal
Total energy in eV per atom: -4.743
ΔE_f (raw) in eV/atom: 1.1271

---

9.
TaTl3Cr2Te6: optimized geometry, PBE-GGA.

Cell and atoms, written as extended XYZ:
```
12
Lattice="3.329 -5.962 0.000 3.329 5.962 0.000 -0.388 0.000 8.700" Properties=species:S:1:pos:R:3 pbc="T T T"
Ta 0.000 0.000 0.000
Tl -0.194 0.000 4.350
Tl 3.135 1.986 4.350
Tl 3.135 -1.986 4.350
Cr 3.329 1.966 0.000
Cr 3.329 -1.966 0.000
Te 2.213 3.931 1.603
Te 4.057 3.931 7.097
Te 2.285 0.000 1.622
Te 3.986 0.000 7.078
Te 2.213 -3.931 1.603
Te 4.057 -3.931 7.097
```

## Properties
Crystal system: monoclinic
Total energy in eV per atom: -4.947
ΔE_f (raw) in eV/atom: -0.1928

---

10.
TaCrTeW2: optimized geometry, PBE-GGA.

Cell and atoms, written as extended XYZ:
```
5
Lattice="4.601 0.000 0.000 0.000 4.601 0.000 0.000 0.000 4.661" Properties=species:S:1:pos:R:3 pbc="T T T"
Ta 0.000 0.000 0.000
Cr 0.000 0.000 2.330
Te 2.300 2.300 0.000
W 0.000 2.300 2.330
W 2.300 0.000 2.330
```

## Properties
Crystal system: tetragonal
Total energy in eV per atom: -8.771
ΔE_f (raw) in eV/atom: 1.3341

---

11.
Ta3TiCr: optimized geometry, PBE-GGA.

Cell and atoms, written as extended XYZ:
```
5
Lattice="4.614 0.000 0.000 0.000 4.614 0.000 0.000 0.000 4.614" Properties=species:S:1:pos:R:3 pbc="T T T"
Ta 0.000 0.000 2.307
Ta 0.000 2.307 0.000
Ta 2.307 0.000 0.000
Ti 2.307 2.307 2.307
Cr 0.000 0.000 0.000
```

## Properties
Crystal system: cubic
Energy of formation from the pure elements in meV/atom: 924
Total energy in eV per atom: -9.691

---

12.
Ta3TiCr: optimized geometry, PBE-GGA.

Cell and atoms, written as extended XYZ:
```
5
Lattice="4.688 0.000 0.000 0.000 4.688 0.000 0.000 0.000 4.688" Properties=species:S:1:pos:R:3 pbc="T T T"
Ta 0.000 0.000 2.344
Ta 0.000 2.344 0.000
Ta 2.344 0.000 0.000
Ti 0.000 0.000 0.000
Cr 2.344 2.344 2.344
```

## Properties
Crystal system: cubic
Energy of formation from the pure elements in meV/atom: 1583
Total energy in eV per atom: -9.033

---

13.
Ta2TiCr: optimized geometry, PBE-GGA.

Cell and atoms, written as extended XYZ:
```
8
Lattice="-3.545 3.545 2.741 3.545 -3.545 2.741 3.545 3.545 -2.741" Properties=species:S:1:pos:R:3 pbc="T T T"
Ta 5.318 1.572 -0.685
Ta 1.572 1.773 0.685
Ta -1.773 1.973 2.056
Ta 1.973 1.773 3.427
Ti 3.545 0.000 1.371
Ti 0.000 0.000 2.741
Cr 0.000 0.000 0.000
Cr 0.000 3.545 1.371
```

## Properties
Crystal system: tetragonal
Energy of formation from the pure elements in meV/atom: 601
Total energy in eV per atom: -9.704

---

14.
TaTiCr: optimized geometry, PBE-GGA.

Cell and atoms, written as extended XYZ:
```
12
Lattice="8.449 0.000 0.000 0.000 2.557 4.287 0.000 -2.557 4.287" Properties=species:S:1:pos:R:3 pbc="T T T"
Ta 1.489 0.000 0.000
Ta 2.528 0.000 5.719
Ta 5.921 0.000 5.719
Ta 6.960 0.000 0.000
Ti 2.051 0.000 2.836
Ti 4.225 -1.326 3.626
Ti 4.225 1.326 3.626
Ti 6.398 0.000 2.836
Cr 0.000 0.000 4.322
Cr 0.000 -1.233 6.410
Cr 0.000 1.233 6.410
Cr 4.225 0.000 1.466
```

## Properties
Crystal system: orthorhombic
Energy of formation from the pure elements in meV/atom: -10
Total energy in eV per atom: -9.800

---

no.,calculated volume (Å³ per cell)
1,85
2,85
3,71
4,208
5,74
6,122
7,107
8,143
9,345
10,99
11,98
12,103
13,138
14,185